(1)
Pt3AuSe after structural relaxation, computed with PBE-GGA.

## Properties
total DFT energy (no corrections) = -21.75 eV for the cell shown
ΔE to the lowest computed polymorph = 0.00 eV per formula unit

Structure (CIF):
```
data_Pt3AuSe
_space_group_name_H-M_alt 'P m -3 m'
_space_group_IT_number 221
_space_group_name_Hall '-P 4 2 3'
_cell_length_a 4.673
_cell_length_b 4.673
_cell_length_c 4.673
_cell_angle_alpha 90.00
_cell_angle_beta 90.00
_cell_angle_gamma 90.00
loop_
_atom_site_label
_atom_site_type_symbol
_atom_site_fract_x
_atom_site_fract_y
_atom_site_fract_z
Pt1 Pt 0.000 0.000 0.500
Au1 Au 0.500 0.500 0.500
Se1 Se 0.000 0.000 0.000
```

(2)
PtAuSe4 after structural relaxation, computed with PBE-GGA.

## Properties
total DFT energy (no corrections) = -48.63 eV for the cell shown
ΔE to the lowest computed polymorph = 0.00 eV per formula unit

Structure (CIF):
```
data_PtAuSe4
_space_group_name_H-M_alt 'C 1 2/m 1'
_space_group_IT_number 12
_cell_length_a 11.887
_cell_length_b 3.830
_cell_length_c 6.789
_cell_angle_alpha 90.00
_cell_angle_beta 123.52
_cell_angle_gamma 90.00
loop_
_space_group_symop_operation_xyz
'x,y,z'
'-x,-y,-z'
'-x,y,-z'
'x,-y,z'
'x+1/2,y+1/2,z'
'-x+1/2,-y+1/2,-z'
'-x+1/2,y+1/2,-z'
'x+1/2,-y+1/2,z'
loop_
_atom_site_label
_atom_site_type_symbol
_atom_site_fract_x
_atom_site_fract_y
_atom_site_fract_z
Pt1 Pt 0.000 0.000 0.000
Au1 Au 0.000 0.500 0.500
Se1 Se 0.124 0.500 0.289
Se2 Se 0.151 0.000 0.843
```

(3)
SrPtAuSe2 after structural relaxation, computed with PBE-GGA.

## Properties
total DFT energy (no corrections) = -19.11 eV for the cell shown

Structure (CIF):
```
data_SrPtAuSe2
_space_group_name_H-M_alt 'P 4/m m m'
_space_group_IT_number 123
_space_group_name_Hall '-P 4 2'
_cell_length_a 5.110
_cell_length_b 5.110
_cell_length_c 5.103
_cell_angle_alpha 90.00
_cell_angle_beta 90.00
_cell_angle_gamma 90.00
loop_
_atom_site_label
_atom_site_type_symbol
_atom_site_fract_x
_atom_site_fract_y
_atom_site_fract_z
Sr1 Sr 0.000 0.000 0.000
Pt1 Pt 0.500 0.500 0.000
Au1 Au 0.500 0.500 0.500
Se1 Se 0.000 0.500 0.500
```

Computed values of magnetic moment (unit: Bohr magnetons per cell) for the preceding records, in sequence: 0.00 0.00 0.00.